1.
VASP calculation (PBE) on crystalline Ho5Pb4 at its relaxed geometry.

Values from the calculation:
density of states at the Fermi level: 18.99 states/eV/cell
formation energy: -0.5222 eV/atom
calculated volume: 1050.6 Å³/cell
energy relative to the lowest polymorph listed for this composition: 0 meV per atom

a = 8.1805 Å, b = 15.5712 Å, c = 8.2478 Å
α = 90.00°, β = 90.00°, γ = 90.00°
Space group Pnma (No. 62)
One atom of each set of equivalent atoms:
Ho1 0.0379 0.0997 0.1757 x8
Ho2 0.1225 0.6208 0.3436 x8
Ho3 0.2108 0.2500 0.5042 x4
Pb1 0.0721 0.2500 0.8754 x4
Pb2 0.1503 0.7500 0.6533 x4
Pb3 0.2194 0.0431 0.5338 x8

---

2.
VASP calculation (PBE) on crystalline Co2HgOs at its relaxed geometry.

Values from the calculation:
density of states at the Fermi level: 5.68 states/eV/cell
formation energy: 0.5414 eV/atom
calculated volume: 56.7 Å³/cell

a = 2.7216 Å, b = 4.0965 Å, c = 5.2634 Å
α = 90.00°, β = 104.90°, γ = 90.00°
Space group Pm (No. 6)
One atom of each set of equivalent atoms:
Co1 0.0000 0.0000 0.0000 x1
Co2 0.1207 0.5000 0.2439 x1
Hg1 0.7397 0.0000 0.4831 x1
Os1 0.4107 0.5000 0.8214 x1

---

3.
VASP calculation (PBE) on crystalline LiCrGaCu at its relaxed geometry.

Values from the calculation:
density of states at the Fermi level: 8.28 states/eV/cell
formation energy: 0.0206 eV/atom
calculated volume: 215.2 Å³/cell

a = 5.9930 Å, b = 5.9930 Å, c = 5.9930 Å
α = 90.00°, β = 90.00°, γ = 90.00°
Space group F-43m (No. 216)
One atom of each set of equivalent atoms:
Li1 0.0000 0.0000 0.0000 x4
Cr1 0.2500 0.2500 0.2500 x4
Ga1 0.0000 0.0000 0.5000 x4
Cu1 0.2500 0.2500 0.7500 x4

---

4.
VASP calculation (PBE) on crystalline CsSBr2 at its relaxed geometry.

Values from the calculation:
density of states at the Fermi level: 0.00 states/eV/cell
E_form (uncorrected): -907 meV/atom
calculated volume: 371.2 Å³/cell
energy relative to the lowest polymorph listed for this composition: 0 meV per atom

a = 5.2095 Å, b = 5.2122 Å, c = 13.6853 Å
α = 91.75°, β = 91.56°, γ = 91.06°
Space group P1 (No. 1)
One atom of each set of equivalent atoms:
Cs1 0.0000 0.0000 0.0000 x1
Cs2 0.4883 0.4859 0.7163 x1
S1 0.2786 0.9851 0.3309 x1
S2 0.5336 0.2306 0.3833 x1
Br1 0.4301 0.7439 0.1986 x1
Br2 0.5090 0.4911 0.9840 x1
Br3 0.7623 0.0710 0.5168 x1
Br4 0.9974 0.9776 0.7323 x1

---

5.
VASP calculation (PBE) on crystalline Ag6HgPt at its relaxed geometry.

Values from the calculation:
density of states at the Fermi level: 2.41 states/eV/cell
formation energy: 0.0312 eV/atom
calculated volume: 144.0 Å³/cell
energy relative to the lowest polymorph listed for this composition: 0 meV per atom

a = 4.1990 Å, b = 4.1990 Å, c = 8.1693 Å
α = 90.00°, β = 90.00°, γ = 90.00°
Space group P4/mmm (No. 123)
One atom of each set of equivalent atoms:
Ag1 0.0000 0.0000 0.0000 x1
Ag2 0.0000 0.0000 0.5000 x1
Ag3 0.0000 0.5000 0.2407 x4
Hg1 0.5000 0.5000 0.5000 x1
Pt1 0.5000 0.5000 0.0000 x1

---

6.
VASP calculation (PBE) on crystalline K2HgGeBr6 at its relaxed geometry.

Values from the calculation:
density of states at the Fermi level: 0.00 states/eV/cell
E_form (uncorrected): -1003 meV/atom
calculated volume: 1215.8 Å³/cell

a = 7.8069 Å, b = 7.8069 Å, c = 23.0306 Å
α = 90.00°, β = 90.00°, γ = 120.00°
Space group R3 (No. 146, hexagonal axes)
One atom of each set of equivalent atoms:
K1 0.0000 0.0000 0.0000 x3
K2 0.0000 0.0000 0.4841 x3
Hg1 0.0000 0.0000 0.2530 x3
Ge1 0.0000 0.0000 0.7030 x3
Br1 0.0286 0.6232 0.4248 x9
Br2 0.0426 0.3501 0.2575 x9

---

7.
VASP calculation (PBE) on crystalline KAs2AuCl at its relaxed geometry.

Values from the calculation:
density of states at the Fermi level: 4.02 states/eV/cell
E_form (uncorrected): 506 meV/atom
calculated volume: 138.3 Å³/cell

a = 5.0380 Å, b = 5.0380 Å, c = 5.4469 Å
α = 90.00°, β = 90.00°, γ = 90.00°
Space group P4/mmm (No. 123)
One atom of each set of equivalent atoms:
K1 0.0000 0.0000 0.0000 x1
As1 0.0000 0.5000 0.5000 x2
Au1 0.5000 0.5000 0.0000 x1
Cl1 0.0000 0.0000 0.5000 x1

---

8.
VASP calculation (PBE) on crystalline CaP2Pd5Au at its relaxed geometry.

Values from the calculation:
density of states at the Fermi level: 3.79 states/eV/cell
formation energy: -0.4953 eV/atom
calculated volume: 151.6 Å³/cell

a = 4.6066 Å, b = 4.6066 Å, c = 7.1454 Å
α = 90.00°, β = 90.00°, γ = 90.00°
Space group P4/mmm (No. 123)
One atom of each set of equivalent atoms:
Ca1 0.0000 0.0000 0.0000 x1
P1 0.5000 0.5000 0.3426 x2
Pd1 0.0000 0.5000 0.2639 x4
Pd2 0.5000 0.5000 0.0000 x1
Au1 0.0000 0.0000 0.5000 x1